CaCd2InSi after structural relaxation. Source: the Alexandria database, functional PBE-GGA.

```
CaCd2InSi
1.0
5.2667 0.0000 0.0000
0.0000 5.1827 0.0000
0.0000 0.0000 5.2667
Ca Cd Si In
1 2 1 1
Direct
0.5000 0.5000 0.5000
0.0000 0.0000 0.5000
0.5000 0.0000 0.0000
0.0000 0.0000 0.0000
0.0000 0.5000 0.0000
```

Summary:
crystal system = tetragonal
theoretical density = 4.71 Mg/m³
ΔE_f (raw) = 0.178 eV/atom
symmetry = P4/mmm (123)
magnetization = 0.000 μB/f.u.